[1]
A geometry-optimized CaTl2GeO4 structure, computed with PBE-GGA.

a b c (Å): 12.3669 11.2320 6.6374
angles (deg): 83.35 64.44 32.21
Last column: nearest neighbours and their distance in Å.
Sites, in units of the cell vectors:
Ca1 0.1250 0.1250 0.1250  4 O 2.25
Ca2 0.8750 0.8750 0.8750  4 O 2.25
Tl1 0.0744 0.0744 0.6756  2 O 2.62
Tl2 0.3244 0.3244 0.9256  2 O 2.62
Tl3 0.6756 0.6756 0.0744  2 O 2.62
Tl4 0.9256 0.9256 0.3244  2 O 2.62
Ge1 0.3750 0.3750 0.3750  4 O 1.81
Ge2 0.6250 0.6250 0.6250  4 O 1.81
O1 0.0449 0.6348 0.5107  1 Ge 1.81
O2 0.3097 0.5107 0.6348  1 Ge 1.81
O3 0.3652 0.9551 0.6903  1 Ge 1.81
O4 0.4893 0.6903 0.9551  1 Ge 1.81
O5 0.5107 0.3097 0.0449  1 Ge 1.81
O6 0.6348 0.0449 0.3097  1 Ge 1.81
O7 0.6903 0.4893 0.3652  1 Ge 1.81
O8 0.9551 0.3652 0.4893  1 Ge 1.81

Calculated values
- calculated total energy (eV per cell) = -84.73
- symmetry = Fddd, No. 70
- V (Å³/cell) = 379.2

---

[2]
A geometry-optimized PuGeRh2 structure, computed with PBE-GGA.

a b c (Å): 6.4471 4.3393 10.1996
angles (deg): 90.00 90.00 90.00
Last column: nearest neighbours and their distance in Å.
Sites, in units of the cell vectors:
Pu1 0.2260 0.2500 0.1573  7 Rh 2.85-3.13, 4 Ge 3.08-3.10
Pu2 0.2740 0.7500 0.6573  7 Rh 2.85-3.13, 4 Ge 3.08-3.10
Pu3 0.7260 0.2500 0.3427  7 Rh 2.85-3.13, 4 Ge 3.08-3.10
Pu4 0.7740 0.7500 0.8427  7 Rh 2.85-3.13, 4 Ge 3.08-3.10
Ge1 0.0695 0.7500 0.3474  5 Rh 2.50-2.56
Ge2 0.4305 0.2500 0.8474  5 Rh 2.50-2.56
Ge3 0.5695 0.7500 0.1526  5 Rh 2.50-2.56
Ge4 0.9305 0.2500 0.6526  5 Rh 2.50-2.56
Rh1 0.0493 0.2500 0.8926  2 Ge 2.50-2.56
Rh2 0.1745 0.2500 0.4609  3 Ge 2.51-2.55
Rh3 0.3255 0.7500 0.9609  3 Ge 2.51-2.55
Rh4 0.4507 0.7500 0.3926  2 Ge 2.50-2.56
Rh5 0.5493 0.2500 0.6074  2 Ge 2.50-2.56
Rh6 0.6745 0.2500 0.0391  3 Ge 2.51-2.55
Rh7 0.8255 0.7500 0.5391  3 Ge 2.51-2.55
Rh8 0.9507 0.7500 0.1074  2 Ge 2.50-2.56

Calculated values
- E_form (eV/atom) = -0.55
- symmetry = Pnma, No. 62
- V (Å³/cell) = 285.3

---

[3]
A geometry-optimized Tb2Nd6SmDy3 structure, computed with PBE-GGA.

a b c (Å): 6.2882 6.2882 11.9231
angles (deg): 95.03 95.03 120.00
Last column: nearest neighbours and their distance in Å.
Sites, in units of the cell vectors:
Tb1 0.1666 0.8334 0.0000  6 Nd 3.62, 3 Tb 3.63, 3 Sm 3.63
Tb2 0.8334 0.1666 0.0000  6 Nd 3.62, 3 Tb 3.63, 3 Sm 3.63
Nd1 0.0822 0.4159 0.7488  3 Dy 3.59-3.60, 2 Tb 3.62, 1 Sm 3.62, 6 Nd 3.63-3.64
Nd2 0.2503 0.2503 0.2511  3 Dy 3.59-3.60, 1 Sm 3.62, 2 Tb 3.62, 6 Nd 3.63-3.64
Nd3 0.4159 0.0822 0.7488  3 Dy 3.59-3.60, 2 Tb 3.62, 1 Sm 3.62, 6 Nd 3.63-3.64
Nd4 0.5841 0.9178 0.2512  3 Dy 3.59-3.60, 2 Tb 3.62, 1 Sm 3.62, 6 Nd 3.63-3.64
Nd5 0.7497 0.7497 0.7489  3 Dy 3.59-3.60, 1 Sm 3.62, 2 Tb 3.62, 6 Nd 3.63-3.64
Nd6 0.9178 0.5841 0.2512  3 Dy 3.59-3.60, 2 Tb 3.62, 1 Sm 3.62, 6 Nd 3.63-3.64
Sm1 0.5000 0.5000 0.0000  6 Nd 3.62, 6 Tb 3.63
Dy1 0.0000 0.0000 0.5000  6 Nd 3.59-3.60, 6 Dy 3.63
Dy2 0.3333 0.6667 0.5000  6 Nd 3.59-3.60, 6 Dy 3.63
Dy3 0.6667 0.3333 0.5000  6 Nd 3.59-3.60, 6 Dy 3.63

Calculated values
- E_form (eV/atom) = 0.01
- symmetry = C2/m, No. 12
- V (Å³/cell) = 402.0